Record 1
The following is a PBE calculation of an optimized crystal structure of PaSn8, from Alexandria.

Lattice parameters (Å, degrees): 7.786 7.786 7.786 94.42 94.42 147.78
Positions (direct):
Pa 0.000 0.000 0.000
Sn 0.000 0.325 0.325
Sn 0.000 0.675 0.675
Sn 0.325 0.000 0.325
Sn 0.340 0.340 0.679
Sn 0.340 0.660 0.000
Sn 0.660 0.340 0.000
Sn 0.660 0.660 0.321
Sn 0.675 0.000 0.675

Computed properties:
* formation energy from the elements: 0.015 eV per atom
* space-group type: No. 139


Record 2
The following is a PBE calculation of an optimized crystal structure of SmErIr, from Alexandria.

Lattice parameters (Å, degrees): 3.494 3.494 12.807 90.00 90.00 90.00
Positions (direct):
Sm 0.000 0.000 0.000
Sm 0.500 0.500 0.500
Er 0.000 0.000 0.745
Er 0.500 0.500 0.245
Ir 0.000 0.000 0.366
Ir 0.500 0.500 0.866

Computed properties:
* relative energy among the computed polymorphs: 0.131 eV per atom
* formation energy from the elements: -0.534 eV per atom
* space-group type: No. 107


Record 3
The following is a PBE calculation of an optimized crystal structure of Pr3HoTl4Te8, from Alexandria.

Lattice parameters (Å, degrees): 9.730 9.730 9.730 55.88 55.88 55.88
Positions (direct):
Pr 0.000 0.500 0.500
Pr 0.500 0.000 0.500
Pr 0.500 0.500 0.000
Ho 0.000 0.000 0.000
Tl 0.000 0.000 0.500
Tl 0.000 0.500 0.000
Tl 0.500 0.000 0.000
Tl 0.500 0.500 0.500
Te 0.235 0.235 0.749
Te 0.235 0.749 0.235
Te 0.251 0.765 0.765
Te 0.259 0.259 0.259
Te 0.741 0.741 0.741
Te 0.749 0.235 0.235
Te 0.765 0.251 0.765
Te 0.765 0.765 0.251

Computed properties:
* formation energy from raw total energies: -1.067 eV per atom
* space-group type: No. 166


Record 4
The following is a PBE calculation of an optimized crystal structure of La4MgGa2, from Alexandria.

Lattice parameters (Å, degrees): 9.070 9.070 9.070 34.09 34.09 34.09
Positions (direct):
La 0.114 0.114 0.114
La 0.366 0.366 0.366
La 0.634 0.634 0.634
La 0.886 0.886 0.886
Mg 0.500 0.500 0.500
Ga 0.242 0.242 0.242
Ga 0.758 0.758 0.758

Computed properties:
* formation energy from the elements: -0.347 eV per atom
* space-group type: No. 166


Repeat the second record exactly.
The following is a PBE calculation of an optimized crystal structure of SmErIr, from Alexandria.

Lattice parameters (Å, degrees): 3.494 3.494 12.807 90.00 90.00 90.00
Positions (direct):
Sm 0.000 0.000 0.000
Sm 0.500 0.500 0.500
Er 0.000 0.000 0.745
Er 0.500 0.500 0.245
Ir 0.000 0.000 0.366
Ir 0.500 0.500 0.866

Computed properties:
* relative energy among the computed polymorphs: 0.131 eV per atom
* formation energy from the elements: -0.534 eV per atom
* space-group type: No. 107